{
  "formula": "Ba2RuW",
  "functional": "PBE-GGA",
  "state": "optimized geometry",
  "crystal_system": "orthorhombic",
  "total_energy_ev_per_cell": -20.12,
  "vol_a3_per_fu": 102.16,
  "spacegroup": "Cmmm, No. 65",
  "lattice": [[-2.2558, -5.1742, 2.3003], [3.1752, 3.8787, 3.4680], [-2.7184, 1.5303, 0.7791]],
  "species": ["Ba", "Ba", "Ru", "W"],
  "fractional_positions": [[0.0000, 0.0000, 0.0000], [0.5000, 0.5000, 0.0000], [0.5000, 0.0000, 0.5000], [0.0000, 0.5000, 0.5000]]
}

{
  "formula": "BaRu4W",
  "functional": "PBE-GGA",
  "state": "optimized geometry",
  "crystal_system": "cubic",
  "total_energy_ev_per_cell": -46.76,
  "vol_a3_per_fu": 106.30,
  "spacegroup": "F-43m, No. 216",
  "lattice": [[-0.7311, -5.2607, -0.2487], [1.9782, -3.1419, 3.8062], [-3.2733, -2.3947, 3.4384]],
  "species": ["Ba", "Ru", "Ru", "Ru", "Ru", "W"],
  "fractional_positions": [[0.0000, 0.0000, 0.0000], [0.8719, 0.3760, 0.3760], [0.3760, 0.3760, 0.8719], [0.3760, 0.8719, 0.3760], [0.3760, 0.3760, 0.3760], [0.7500, 0.7500, 0.7500]]
}

{
  "formula": "BaRu2W",
  "functional": "PBE-GGA",
  "state": "optimized geometry",
  "crystal_system": "orthorhombic",
  "total_energy_ev_per_cell": -29.60,
  "vol_a3_per_fu": 88.25,
  "spacegroup": "Immm, No. 71",
  "lattice": [[5.7755, 0.0041, 0.0010], [1.9204, 5.4469, -0.0010], [-2.8068, -4.1955, 2.8066]],
  "species": ["Ba", "Ru", "Ru", "W"],
  "fractional_positions": [[0.7500, 0.2500, 0.5000], [0.0520, 0.0520, 0.0000], [0.4480, 0.4480, 0.0000], [0.2500, 0.7500, 0.5000]]
}

{
  "formula": "BaRu2W",
  "functional": "PBE-GGA",
  "state": "optimized geometry",
  "crystal_system": "tetragonal",
  "total_energy_ev_per_cell": -28.79,
  "vol_a3_per_fu": 76.27,
  "spacegroup": "P4/mmm, No. 123",
  "lattice": [[-1.7756, -0.1375, 4.6717], [-0.3958, -4.9750, -0.2980], [2.8420, -0.2907, 1.0721]],
  "species": ["Ba", "Ru", "Ru", "W"],
  "fractional_positions": [[0.0000, 0.5000, 0.5000], [0.0000, 0.0000, 0.0000], [0.5000, 0.5000, 0.0000], [0.5000, 0.0000, 0.5000]]
}

no.,formation energy (kJ per mole of atoms)
1,144
2,84
3,92
4,112